1.
This record from Alexandria describes a relaxed FeRe2Ir crystal. The functional is PBE.

Cell: 6.1247 6.1247 6.1247 Å, 90.00 90.00 90.00°
Last column: nearest neighbours and their distance in Å.
Space group Fm-3m (No. 225)
Inequivalent atoms, fractional coordinates:
1 Fe 0.0000 0.0000 0.0000  8 Re 2.65
2 Re 0.2500 0.2500 0.2500  4 Fe 2.65, 4 Ir 2.65
3 Ir 0.0000 0.0000 0.5000  8 Re 2.65

energy of formation: 0.39 eV/atom
energy relative to the lowest polymorph listed for this composition: 43.0 kJ/mol of atoms

2.
This record from Alexandria describes a relaxed Tb5PrDy crystal. The functional is PBE.

Cell: 5.7916 8.6885 11.8555 Å, 90.00 90.00 90.00°
Last column: nearest neighbours and their distance in Å.
Space group Immm (No. 71)
Inequivalent atoms, fractional coordinates:
1 Tb 0.0000 0.0000 0.0000  2 Dy 2.90
2 Tb 0.0000 0.1800 0.5000  1 Dy 2.78
3 Tb 0.0000 0.5000 0.2521  1 Dy 2.94, 1 Pr 2.99
4 Pr 0.0000 0.5000 0.0000  6 Tb 2.99-3.29
5 Dy 0.0000 0.5000 0.5000  6 Tb 2.78-2.94

energy of formation: 1.08 eV/atom
energy relative to the lowest polymorph listed for this composition: 85.8 kJ/mol of atoms

3.
This record from Alexandria describes a relaxed LaTmZr2 crystal. The functional is PBE.

Cell: 3.3711 3.3711 33.0158 Å, 90.00 90.00 120.00°
Last column: nearest neighbours and their distance in Å.
Space group R-3m (No. 166, hexagonal axes)
Inequivalent atoms, fractional coordinates:
1 La 0.0000 0.0000 0.0000  6 La 3.37, 6 Zr 3.42
2 Tm 0.0000 0.0000 0.5000  6 Zr 3.32, 6 Tm 3.37
3 Zr 0.0000 0.0000 0.2482  3 Tm 3.32, 6 Zr 3.37, 3 La 3.42

energy of formation: 0.16 eV/atom

4.
This record from Alexandria describes a relaxed Ga3Bi5Au12 crystal. The functional is PBE.

Cell: 16.0844 16.0844 16.0844 Å, 90.00 90.00 90.00°
Last column: nearest neighbours and their distance in Å.
Space group Ia-3d (No. 230)
Inequivalent atoms, fractional coordinates:
1 Ga 0.0000 0.2500 0.1250  4 Au 2.62
2 Bi 0.0000 0.0000 0.0000  6 Au 2.85
3 Bi 0.0000 0.2500 0.3750  4 Au 2.79
4 Au 0.0134 0.0902 0.6521  1 Ga 2.62, 1 Au 2.77, 2 Bi 2.79-2.85

energy of formation: 0.10 eV/atom

5.
This record from Alexandria describes a relaxed TeAs8 crystal. The functional is PBE.

Cell: 8.9983 8.9983 4.8400 Å, 90.00 90.00 90.00°
Last column: nearest neighbours and their distance in Å.
Space group I4/mmm (No. 139)
Inequivalent atoms, fractional coordinates:
1 Te 0.0000 0.0000 0.0000  4 As 2.91
2 As 0.0000 0.3238 0.0000  2 As 2.70, 1 Te 2.91
3 As 0.2007 0.2007 0.5000  4 As 2.70-2.73

6.
This record from Alexandria describes a relaxed CdTc2Cl crystal. The functional is PBE.

Cell: 2.8667 5.1068 9.1284 Å, 90.00 90.00 90.00°
Last column: nearest neighbours and their distance in Å.
Space group Cmmm (No. 65)
Inequivalent atoms, fractional coordinates:
1 Cd 0.0000 0.0000 0.0000  4 Tc 2.85, 6 Cd 2.87-2.93
2 Tc 0.0000 0.5000 0.2705  2 Cl 2.54
3 Cl 0.0000 0.0000 0.5000  4 Tc 2.54

energy relative to the lowest polymorph listed for this composition: 67.5 kJ/mol of atoms

7.
This record from Alexandria describes a relaxed Sc2Tl2Ru crystal. The functional is PBE.

Cell: 7.3928 7.3928 3.9312 Å, 90.00 90.00 90.00°
Last column: nearest neighbours and their distance in Å.
Space group P4/mbm (No. 127)
Inequivalent atoms, fractional coordinates:
1 Sc 0.1691 0.3309 0.0000  6 Tl 2.80-3.02
2 Tl 0.1401 0.6401 0.5000  6 Sc 2.80-3.02, 2 Ru 2.85, 1 Tl 2.93
3 Ru 0.0000 0.0000 0.5000  4 Tl 2.85

energy of formation: 0.03 eV/atom

8.
This record from Alexandria describes a relaxed Ag2OsRuW crystal. The functional is PBE.

Cell: 4.8840 4.8840 4.5373 Å, 90.00 90.00 90.00°
Last column: nearest neighbours and their distance in Å.
Space group P4/mmm (No. 123)
Inequivalent atoms, fractional coordinates:
1 Ag 0.0000 0.5000 0.0000  2 Ru 2.44
2 Os 0.0000 0.0000 0.5000  8 Ag 3.33, 4 W 3.45
3 Ru 0.5000 0.5000 0.0000  2 W 2.27, 4 Ag 2.44
4 W 0.5000 0.5000 0.5000  2 Ru 2.27

energy of formation: 2.30 eV/atom

9.
This record from Alexandria describes a relaxed La3Pr4S8 crystal. The functional is PBE.

Cell: 11.6660 11.6655 8.2207 Å, 90.00 134.80 90.00°
Last column: nearest neighbours and their distance in Å.
Space group C2/m (No. 12)
Inequivalent atoms, fractional coordinates:
1 La 0.0000 0.0000 0.0000  6 S 2.92
2 La 0.2500 0.2500 0.5000  6 S 2.92
3 Pr 0.0000 0.5000 0.0000  6 S 2.91
4 Pr 0.0000 0.5000 0.5000  6 S 2.89-2.90
5 Pr 0.2500 0.2500 0.0000  6 S 2.92
6 S 0.0000 0.2504 0.0000  3 Pr 2.91-2.92, 3 La 2.92
7 S 0.0000 0.2520 0.5000  3 Pr 2.89-2.92, 2 La 2.92
8 S 0.2469 0.5000 0.4987  2 Pr 2.89-2.91, 3 La 2.92
9 S 0.2481 0.5000 0.9970  4 Pr 2.90-2.92, 1 La 2.92

10.
This record from Alexandria describes a relaxed LaTb2Rh crystal. The functional is PBE.

Cell: 3.8408 9.6872 6.4034 Å, 90.00 107.42 90.00°
Last column: nearest neighbours and their distance in Å.
Space group P2_1/m (No. 11)
Inequivalent atoms, fractional coordinates:
1 La 0.0764 0.2500 0.1537  2 Rh 2.92
2 Tb 0.3582 0.0691 0.7157  2 Rh 2.88
3 Rh 0.2427 0.7500 0.4859  4 Tb 2.88, 2 La 2.92

energy of formation: -0.46 eV/atom
energy relative to the lowest polymorph listed for this composition: 3.2 kJ/mol of atoms

11.
This record from Alexandria describes a relaxed K2GaRhAu crystal. The functional is PBE.

Cell: 6.0596 6.0596 4.6856 Å, 90.00 90.00 90.00°
Last column: nearest neighbours and their distance in Å.
Space group P4/mmm (No. 123)
Inequivalent atoms, fractional coordinates:
1 K 0.0000 0.5000 0.0000  2 Rh 3.03
2 Ga 0.0000 0.0000 0.5000  2 Rh 2.34
3 Rh 0.0000 0.0000 0.0000  2 Ga 2.34
4 Au 0.5000 0.5000 0.5000  8 K 3.83, 4 Ga 4.28

energy of formation: 0.20 eV/atom

12.
This record from Alexandria describes a relaxed Ho2AgSb3 crystal. The functional is PBE.

Cell: 7.6328 7.6328 16.5077 Å, 90.00 90.00 90.00°
Last column: nearest neighbours and their distance in Å.
Space group P4/mmm (No. 123)
Inequivalent atoms, fractional coordinates:
1 Ho 0.0000 0.0000 0.1722  2 Sb 2.80-2.84
2 Ag 0.0000 0.0000 0.5000  2 Sb 2.61
3 Sb 0.0000 0.0000 0.0000  2 Ho 2.84
4 Sb 0.0000 0.0000 0.3417  1 Ag 2.61, 1 Ho 2.80

13.
This record from Alexandria describes a relaxed InPRuS2 crystal. The functional is PBE.

Cell: 4.8822 4.8822 4.8749 Å, 90.00 90.00 90.00°
Last column: nearest neighbours and their distance in Å.
Space group P4/mmm (No. 123)
Inequivalent atoms, fractional coordinates:
1 In 0.0000 0.0000 0.0000  2 P 2.44, 4 S 2.44
2 P 0.0000 0.0000 0.5000  2 In 2.44
3 Ru 0.5000 0.5000 0.5000  8 S 3.45, 4 P 3.45
4 S 0.0000 0.5000 0.0000  2 In 2.44

energy relative to the lowest polymorph listed for this composition: 109.6 kJ/mol of atoms

14.
This record from Alexandria describes a relaxed CaLaP2S crystal. The functional is PBE.

Cell: 5.3920 5.3920 5.4322 Å, 90.00 90.00 90.00°
Last column: nearest neighbours and their distance in Å.
Space group P4/mmm (No. 123)
Inequivalent atoms, fractional coordinates:
1 Ca 0.0000 0.0000 0.0000  4 S 3.81, 8 P 3.83
2 La 0.5000 0.5000 0.5000  4 P 2.70, 2 S 2.72
3 P 0.0000 0.5000 0.5000  2 La 2.70
4 S 0.5000 0.5000 0.0000  2 La 2.72

energy relative to the lowest polymorph listed for this composition: 5.2 kJ/mol of atoms

15.
This record from Alexandria describes a relaxed Cs4Pd3F12 crystal. The functional is PBE.

Cell: 10.1236 10.1236 10.1236 Å, 90.00 90.00 90.00°
Last column: nearest neighbours and their distance in Å.
Space group Im-3 (No. 204)
Inequivalent atoms, fractional coordinates:
1 Cs 0.2500 0.2500 0.2500  6 F 3.01
2 Pd 0.0000 0.0000 0.5000  4 F 1.95
3 F 0.0000 0.1359 0.3630  1 Pd 1.95

16.
This record from Alexandria describes a relaxed PrSm4Ho3Te8 crystal. The functional is PBE.

Cell: 8.8314 8.8314 21.6427 Å, 90.00 90.00 120.00°
Last column: nearest neighbours and their distance in Å.
Space group R-3m (No. 166, hexagonal axes)
Inequivalent atoms, fractional coordinates:
1 Pr 0.0000 0.0000 0.0000  6 Te 3.15
2 Sm 0.0000 0.0000 0.5000  6 Te 3.09
3 Sm 0.0000 0.5000 0.5000  6 Te 3.16
4 Ho 0.0000 0.5000 0.0000  6 Te 3.08
5 Te 0.0000 0.0000 0.2532  3 Ho 3.08, 3 Sm 3.16
6 Te 0.0075 0.5037 0.2514  2 Ho 3.08, 3 Sm 3.09-3.16, 1 Pr 3.15

17.
This record from Alexandria describes a relaxed Mg8Ga crystal. The functional is PBE.

Cell: 9.5126 9.5126 4.3659 Å, 90.00 90.00 90.00°
Last column: nearest neighbours and their distance in Å.
Space group I4/mmm (No. 139)
Inequivalent atoms, fractional coordinates:
1 Mg 0.0000 0.3294 0.0000  11 Mg 3.11-3.24, 1 Ga 3.13
2 Mg 0.1623 0.1623 0.5000  2 Ga 3.09, 10 Mg 3.09-3.21
3 Ga 0.0000 0.0000 0.0000  12 Mg 3.09-3.13

energy of formation: -0.03 eV/atom

18.
This record from Alexandria describes a relaxed ThPtCl crystal. The functional is PBE.

Cell: 5.2136 4.3407 7.7464 Å, 90.00 108.74 90.00°
Last column: nearest neighbours and their distance in Å.
Space group P2_1/m (No. 11)
Inequivalent atoms, fractional coordinates:
1 Th 0.0345 0.2500 0.2942  4 Pt 2.82-3.14, 3 Cl 2.97-3.04
2 Pt 0.3358 0.7500 0.5087  2 Pt 2.79, 3 Th 2.82-2.87
3 Cl 0.2287 0.2500 0.9639  3 Th 2.97-3.04

19.
This record from Alexandria describes a relaxed Y4Er4Th crystal. The functional is PBE.

Cell: 10.6339 10.6339 5.0362 Å, 90.00 90.00 90.00°
Last column: nearest neighbours and their distance in Å.
Space group I4/mmm (No. 139)
Inequivalent atoms, fractional coordinates:
1 Y 0.1646 0.1646 0.0000  4 Y 3.50-3.60, 2 Th 3.53, 6 Er 3.55-3.57
2 Er 0.0000 0.3333 0.5000  1 Th 3.54, 5 Er 3.55, 6 Y 3.55-3.57
3 Th 0.0000 0.0000 0.5000  8 Y 3.53, 4 Er 3.54

energy of formation: 0.03 eV/atom

20.
This record from Alexandria describes a relaxed Tb5PmDy4 crystal. The functional is PBE.

Cell: 10.2117 10.2117 6.2804 Å, 90.00 90.00 90.00°
Last column: nearest neighbours and their distance in Å.
Space group I4 (No. 79)
Inequivalent atoms, fractional coordinates:
1 Tb 0.0000 0.0000 0.0000  1 Pm 2.87
2 Tb 0.1473 0.7677 0.2712  4 Dy 3.22-3.52, 1 Tb 3.29, 1 Pm 3.29
3 Pm 0.0000 0.0000 0.5430  1 Tb 2.87
4 Dy 0.0482 0.6518 0.7738  4 Tb 3.22-3.52, 1 Dy 3.25

energy of formation: 0.30 eV/atom

Going through the records in order, we get calculated total energy values of -10.1606 -3.5715 -6.4605 -3.2896 -4.0031 -5.1861 -5.3064 -5.5319 -6.5493 -5.8477 -2.9704 -2.8265 -3.7236 -4.6386 -4.1202 -5.2398 -1.7820 -6.5055 -5.6904 -4.3336 eV/atom.
Going through the records in order, we get size of the total moment values of 2.6 0.0 0.0 0.0 0.0 1.9 0.0 2.4 0.0 0.0 0.0 2.1 2.7 0.6 2.2 0.0 0.0 0.0 0.0 0.0 μB per formula unit.